[1]
The following is a PBE-GGA calculation of ZrPd after structural relaxation, from OQMD.

Results
* symmetry: Pmmn
* total magnetic moment: 0.00 μB per formula unit
* volume: 296.5 Å³/cell
* ΔE_f: -0.479 eV/atom

a b c (Å): 4.870 5.715 10.652
angles (deg): 90.00 90.00 90.00
Element x y z (fractional)
Zr 0.250 0.003 0.069
Zr 0.250 0.250 0.343
Zr 0.250 0.250 0.787
Zr 0.250 0.497 0.069
Zr 0.750 0.503 0.931
Zr 0.750 0.750 0.213
Zr 0.750 0.750 0.657
Zr 0.750 0.997 0.931
Pd 0.250 0.506 0.572
Pd 0.250 0.750 0.335
Pd 0.250 0.750 0.821
Pd 0.250 0.994 0.572
Pd 0.750 0.006 0.428
Pd 0.750 0.250 0.179
Pd 0.750 0.250 0.665
Pd 0.750 0.494 0.428


[2]
The following is a PBE-GGA calculation of RbPmSO after structural relaxation, from OQMD.

Results
* symmetry: Pmc2_1
* total magnetic moment: 0.00 μB per formula unit
* distance to the lowest polymorph of the same formula: 90 meV/atom
* volume: 256.0 Å³/cell

a b c (Å): 4.565 8.381 6.692
angles (deg): 90.00 90.00 90.00
Element x y z (fractional)
Rb 0.000 0.191 0.000
Rb 0.000 0.809 0.500
Pm 0.500 0.371 0.436
Pm 0.500 0.629 0.936
S 0.000 0.204 0.511
S 0.000 0.796 0.011
O 0.500 0.411 0.114
O 0.500 0.589 0.614


[3]
The following is a PBE-GGA calculation of TaTlO3 after structural relaxation, from OQMD.

Results
* symmetry: Pnma
* total magnetic moment: 0.00 μB per formula unit
* E_tot: -7.830 eV per atom
* volume: 366.4 Å³/cell

a b c (Å): 6.333 9.831 5.884
angles (deg): 90.00 90.00 90.00
Element x y z (fractional)
Ta 0.066 0.250 0.069
Ta 0.434 0.750 0.569
Ta 0.566 0.250 0.431
Ta 0.934 0.750 0.931
Tl 0.000 0.000 0.500
Tl 0.000 0.500 0.500
Tl 0.500 0.000 0.000
Tl 0.500 0.500 0.000
O 0.122 0.106 0.891
O 0.122 0.394 0.891
O 0.221 0.750 0.804
O 0.279 0.250 0.304
O 0.378 0.606 0.391
O 0.378 0.894 0.391
O 0.622 0.106 0.609
O 0.622 0.394 0.609
O 0.721 0.750 0.696
O 0.779 0.250 0.196
O 0.878 0.606 0.109
O 0.878 0.894 0.109


[4]
The following is a PBE-GGA calculation of Nd2DyGa3AgPt2 after structural relaxation, from OQMD.

Results
* symmetry: Amm2
* total magnetic moment: 0.01 μB per formula unit
* E_tot: -5.081 eV per atom
* volume: 192.1 Å³/cell

a b c (Å): 3.907 7.529 7.529
angles (deg): 119.85 90.00 90.00
Element x y z (fractional)
Nd 0.000 0.205 0.795
Nd 0.000 0.795 0.205
Dy 0.000 0.383 0.383
Ga 0.500 0.061 0.061
Ga 0.500 0.529 0.790
Ga 0.500 0.790 0.529
Ag 0.000 0.790 0.790
Pt 0.500 0.135 0.458
Pt 0.500 0.458 0.135


[5]
The following is a PBE-GGA calculation of NbC after structural relaxation, from OQMD.

Results
* symmetry: F-43m
* total magnetic moment: 0.00 μB per formula unit
* distance to the lowest polymorph of the same formula: 554 meV/atom
* volume: 114.3 Å³/cell

a b c (Å): 4.854 4.854 4.854
angles (deg): 90.00 90.00 90.00
Element x y z (fractional)
Nb 0.000 0.000 0.000
Nb 0.000 0.500 0.500
Nb 0.500 0.000 0.500
Nb 0.500 0.500 0.000
C 0.250 0.250 0.250
C 0.250 0.750 0.750
C 0.750 0.250 0.750
C 0.750 0.750 0.250


[6]
The following is a PBE-GGA calculation of TbAsOsO after structural relaxation, from OQMD.

Results
* symmetry: P4/nmm
* total magnetic moment: 0.01 μB per formula unit
* distance to the lowest polymorph of the same formula: 0 meV/atom
* volume: 132.4 Å³/cell

a b c (Å): 4.069 4.069 7.998
angles (deg): 90.00 90.00 90.00
Element x y z (fractional)
Tb 0.250 0.250 0.131
Tb 0.750 0.750 0.869
As 0.250 0.250 0.672
As 0.750 0.750 0.328
Os 0.250 0.750 0.500
Os 0.750 0.250 0.500
O 0.250 0.750 0.000
O 0.750 0.250 0.000


[7]
The following is a PBE-GGA calculation of BeCu2Pb after structural relaxation, from OQMD.

Results
* symmetry: Pm-3m
* distance to the lowest polymorph of the same formula: 0 meV/atom
* volume: 245.7 Å³/cell

a b c (Å): 6.264 6.264 6.264
angles (deg): 90.00 90.00 90.00
Element x y z (fractional)
Be 0.000 0.000 0.000
Be 0.000 0.000 0.500
Be 0.000 0.500 0.000
Be 0.500 0.000 0.000
Cu 0.205 0.205 0.205
Cu 0.205 0.205 0.795
Cu 0.205 0.795 0.205
Cu 0.205 0.795 0.795
Cu 0.795 0.205 0.205
Cu 0.795 0.205 0.795
Cu 0.795 0.795 0.205
Cu 0.795 0.795 0.795
Pb 0.000 0.500 0.500
Pb 0.500 0.000 0.500
Pb 0.500 0.500 0.000
Pb 0.500 0.500 0.500


[8]
The following is a PBE-GGA calculation of CsLiTcS3 after structural relaxation, from OQMD.

Results
* symmetry: P2_1/m
* total magnetic moment: 2.81 μB per formula unit
* E_tot: -5.018 eV per atom
* volume: 282.9 Å³/cell

a b c (Å): 8.577 3.756 9.707
angles (deg): 90.00 115.23 90.00
Element x y z (fractional)
Cs 0.248 0.250 0.275
Cs 0.752 0.750 0.725
Li 0.080 0.250 0.605
Li 0.920 0.750 0.395
Tc 0.321 0.750 0.850
Tc 0.679 0.250 0.150
S 0.140 0.250 0.864
S 0.230 0.750 0.579
S 0.479 0.750 0.128
S 0.521 0.250 0.872
S 0.770 0.250 0.421
S 0.860 0.750 0.136